This record from Alexandria describes crystalline Pr2BePtN at its relaxed geometry. The functional is PBE.

Its density of states at the Fermi level is 5.3 states/eV/cell. For the total magnetic moment, the calculation gives 0.0 μB/f.u. The value obtained for the total DFT energy (no corrections) is -6.52 eV per atom. Its formation energy from raw total energies is -95.8 kJ per mole of atoms.

It has space group P2_1/m (No. 11), with a = 6.673 Å, b = 3.787 Å, c = 8.193 Å, α = 90.00°, β = 109.74° and γ = 90.00°. The inequivalent atoms are Pr at (0.209, 0.250, 0.402), Pr at (0.211, 0.250, 0.954), Be at (0.437, 0.750, 0.239), Pt at (0.343, 0.750, 0.707) and N at (0.181, 0.750, 0.167).

=====

This record from Alexandria describes crystalline Th2ScSb3 at its relaxed geometry. The functional is PBE.

Its density of states at the Fermi level is 6.4 states/eV/cell. For the total magnetic moment, the calculation gives 0.0 μB/f.u. The value obtained for the total DFT energy (no corrections) is -6.48 eV per atom. Its formation energy from raw total energies is -86.0 kJ per mole of atoms. The energy above the most stable polymorph in this dataset comes out at 6.4 meV/atom.

It has space group Immm (No. 71), with a = 4.395 Å, b = 6.278 Å, c = 13.186 Å, α = 90.00°, β = 90.00° and γ = 90.00°. The inequivalent atoms are Th at (0.000, 0.000, 0.171), Sc at (0.000, 0.000, 0.500), Sb at (0.000, 0.500, 0.153) and Sb at (0.000, 0.500, 0.500).

=====

Number 1: calculated volume 195 Å³/cell. Number 2: calculated volume 364 Å³/cell.